w | # Ta2As2O5

A geometry-optimized Ta2As2O5 structure (PBE, OQMD).

The structure in extended XYZ format:
```
9
Lattice="3.592 0.000 0.000 0.000 3.592 0.000 0.000 0.000 8.439" Properties=species:S:1:pos:R:3 pbc="T T T"
Ta 0.000 0.000 1.771
Ta 0.000 0.000 6.668
As 1.796 1.796 0.000
As 1.796 1.796 4.220
O 0.000 0.000 4.220
O 0.000 1.796 2.531
O 0.000 1.796 5.909
O 1.796 0.000 2.531
O 1.796 0.000 5.909
```

Computed properties:
V = 108.9 Å³ per cell



x | # Ta2As2O5

A geometry-optimized Ta2As2O5 structure (PBE, OQMD).

The structure in extended XYZ format:
```
9
Lattice="4.021 0.000 0.000 0.000 4.021 0.000 0.000 0.000 6.312" Properties=species:S:1:pos:R:3 pbc="T T T"
Ta 0.000 0.000 0.000
Ta 0.000 0.000 3.156
As 2.010 2.010 1.298
As 2.010 2.010 5.014
O 0.000 2.010 1.840
O 0.000 2.010 4.472
O 2.010 0.000 1.840
O 2.010 0.000 4.472
O 2.010 2.010 3.156
```

Computed properties:
V = 102.0 Å³ per cell



It comes down to w, which is 1004 meV/atom more stable than the next structure.



w | # TaTcAsO

A geometry-optimized TaTcAsO structure (PBE, OQMD).

The structure in extended XYZ format:
```
8
Lattice="3.710 0.000 0.000 0.000 3.710 0.000 0.000 0.000 7.958" Properties=species:S:1:pos:R:3 pbc="T T T"
Ta 0.927 0.927 1.299
Ta 2.782 2.782 6.658
Tc 0.927 2.782 3.979
Tc 2.782 0.927 3.979
As 0.927 0.927 5.704
As 2.782 2.782 2.254
O 0.927 2.782 0.000
O 2.782 0.927 0.000
```

Computed properties:
V = 109.5 Å³ per cell



x | # TaTcAsO

A geometry-optimized TaTcAsO structure (PBE, OQMD).

The structure in extended XYZ format:
```
8
Lattice="4.176 0.000 0.000 0.000 5.658 0.000 0.000 0.000 5.241" Properties=species:S:1:pos:R:3 pbc="T T T"
Ta 0.000 1.034 0.000
Ta 0.000 4.624 2.620
Tc 2.088 0.571 3.441
Tc 2.088 5.087 0.821
As 0.000 1.835 2.641
As 0.000 3.823 0.021
O 2.088 1.340 0.123
O 2.088 4.318 2.744
```

Computed properties:
V = 123.8 Å³ per cell



It comes down to x, which is 127 meV/atom more stable than the next structure.



w | # TaTcAsO

A geometry-optimized TaTcAsO structure (PBE, OQMD).

The structure in extended XYZ format:
```
8
Lattice="3.873 0.000 0.000 0.000 3.873 0.000 0.000 0.000 7.310" Properties=species:S:1:pos:R:3 pbc="T T T"
Ta 0.968 2.905 0.000
Ta 2.905 0.968 0.000
Tc 0.968 0.968 2.453
Tc 2.905 2.905 4.858
As 0.968 0.968 5.402
As 2.905 2.905 1.908
O 0.968 2.905 3.655
O 2.905 0.968 3.655
```

Computed properties:
V = 109.6 Å³ per cell



x | # TaTcAsO

A geometry-optimized TaTcAsO structure (PBE, OQMD).

The structure in extended XYZ format:
```
8
Lattice="4.017 0.000 0.000 0.000 4.797 0.000 0.000 0.000 6.822" Properties=species:S:1:pos:R:3 pbc="T T T"
Ta 0.000 0.626 0.000
Ta 0.000 4.171 3.411
Tc 2.009 0.968 2.835
Tc 2.009 3.828 6.245
As 2.009 1.486 5.244
As 2.009 3.311 1.833
O 0.000 0.803 1.932
O 0.000 3.993 5.342
```

Computed properties:
V = 131.5 Å³ per cell



It comes down to x, which is 412 meV/atom more stable than the next structure.



w | # TaTeAsO

A geometry-optimized TaTeAsO structure (PBE, OQMD).

The structure in extended XYZ format:
```
8
Lattice="3.959 0.000 0.000 0.000 3.959 0.000 0.000 0.000 10.325" Properties=species:S:1:pos:R:3 pbc="T T T"
Ta 0.990 0.990 0.833
Ta 2.969 2.969 9.492
Te 0.990 2.969 5.163
Te 2.969 0.990 5.163
As 0.990 0.990 8.289
As 2.969 2.969 2.036
O 0.990 2.969 0.000
O 2.969 0.990 0.000
```

Computed properties:
V = 161.8 Å³ per cell



x | # TaTeAsO

A geometry-optimized TaTeAsO structure (PBE, OQMD).

The structure in extended XYZ format:
```
8
Lattice="3.744 0.000 0.000 0.000 8.802 0.000 0.000 0.000 5.139" Properties=species:S:1:pos:R:3 pbc="T T T"
Ta 0.000 1.120 0.000
Ta 0.000 7.682 2.569
Te 1.872 3.314 4.054
Te 1.872 5.488 1.484
As 0.000 1.624 2.555
As 0.000 7.178 5.125
O 1.872 0.647 0.203
O 1.872 8.155 2.772
```

Computed properties:
V = 169.3 Å³ per cell



It comes down to x, which is 377 meV/atom more stable than the next structure.



w | # TaTeAsO

A geometry-optimized TaTeAsO structure (PBE, OQMD).

The structure in extended XYZ format:
```
16
Lattice="5.789 0.000 0.000 0.000 5.802 0.000 -0.838 0.000 9.548" Properties=species:S:1:pos:R:3 pbc="T T T"
Ta 0.000 1.433 0.000
Ta 0.000 4.370 0.000
Ta 2.894 1.468 0.000
Ta 2.894 4.334 0.000
Te 0.350 0.000 4.188
Te 0.858 2.901 7.264
Te 3.244 2.901 4.188
Te 3.753 0.000 7.264
As 0.840 0.000 7.623
As 1.444 2.901 1.737
As 3.734 2.901 7.623
As 4.338 0.000 1.737
O 2.284 1.483 4.975
O 2.284 4.319 4.975
O 5.178 1.418 4.975
O 5.178 4.384 4.975
```

Computed properties:
V = 320.7 Å³ per cell



x | # TaTeAsO

A geometry-optimized TaTeAsO structure (PBE, OQMD).

The structure in extended XYZ format:
```
8
Lattice="3.640 0.000 0.000 0.000 7.486 0.000 0.000 0.000 7.295" Properties=species:S:1:pos:R:3 pbc="T T T"
Ta 0.000 0.266 0.000
Ta 0.000 7.220 3.648
Te 1.820 1.957 4.164
Te 1.820 5.528 0.516
As 1.820 2.109 6.773
As 1.820 5.377 3.125
O 0.000 0.619 1.859
O 0.000 6.867 5.506
```

Computed properties:
V = 198.8 Å³ per cell



y | # TaTeAsO

A geometry-optimized TaTeAsO structure (PBE, OQMD).

The structure in extended XYZ format:
```
8
Lattice="3.923 0.000 0.000 0.000 3.923 0.000 0.000 0.000 9.116" Properties=species:S:1:pos:R:3 pbc="T T T"
Ta 0.981 2.943 0.000
Ta 2.943 0.981 0.000
Te 0.981 0.981 3.289
Te 2.943 2.943 5.827
As 0.981 0.981 7.222
As 2.943 2.943 1.894
O 0.981 2.943 4.558
O 2.943 0.981 4.558
```

Computed properties:
V = 140.3 Å³ per cell



It comes down to x, which is 763 meV/atom more stable than the next structure.



w | # TmTaAsO

A geometry-optimized TmTaAsO structure (PBE, OQMD).

The structure in extended XYZ format:
```
8
Lattice="3.731 0.000 0.000 0.000 7.338 0.000 0.000 0.000 5.656" Properties=species:S:1:pos:R:3 pbc="T T T"
Tm 0.000 1.690 0.000
Tm 0.000 5.648 2.828
Ta 1.865 2.989 2.847
Ta 1.865 4.348 0.019
As 0.000 1.166 2.746
As 0.000 6.172 5.574
O 1.865 2.419 4.882
O 1.865 4.919 2.054
```

Computed properties:
V = 154.8 Å³ per cell



x | # TmTaAsO

A geometry-optimized TmTaAsO structure (PBE, OQMD).

The structure in extended XYZ format:
```
8
Lattice="4.085 0.000 0.000 0.000 4.085 0.000 0.000 0.000 7.795" Properties=species:S:1:pos:R:3 pbc="T T T"
Tm 1.021 3.064 0.000
Tm 3.064 1.021 0.000
Ta 1.021 1.021 3.026
Ta 3.064 3.064 4.769
As 1.021 1.021 5.825
As 3.064 3.064 1.969
O 1.021 3.064 3.897
O 3.064 1.021 3.897
```

Computed properties:
V = 130.1 Å³ per cell



It comes down to w, which is 581 meV/atom more stable than the next structure.



w | # TmTaAsO

A geometry-optimized TmTaAsO structure (PBE, OQMD).

The structure in extended XYZ format:
```
8
Lattice="3.924 0.000 0.000 0.000 3.924 0.000 0.000 0.000 8.902" Properties=species:S:1:pos:R:3 pbc="T T T"
Tm 0.981 0.981 1.056
Tm 2.943 2.943 7.845
Ta 0.981 2.943 4.451
Ta 2.943 0.981 4.451
As 0.981 0.981 6.268
As 2.943 2.943 2.634
O 0.981 2.943 0.000
O 2.943 0.981 0.000
```

Computed properties:
V = 137.0 Å³ per cell



x | # TmTaAsO

A geometry-optimized TmTaAsO structure (PBE, OQMD).

The structure in extended XYZ format:
```
8
Lattice="4.129 0.000 0.000 0.000 4.976 0.000 0.000 0.000 6.549" Properties=species:S:1:pos:R:3 pbc="T T T"
Tm 0.000 0.965 0.000
Tm 0.000 4.010 3.275
Ta 2.065 1.890 2.216
Ta 2.065 3.086 5.491
As 2.065 0.637 4.520
As 2.065 4.339 1.246
O 0.000 1.941 2.163
O 0.000 3.034 5.437
```

Computed properties:
V = 134.6 Å³ per cell



It comes down to w, which is 228 meV/atom more stable than the next structure.



w | # TbAs2O

A geometry-optimized TbAs2O structure (PBE, OQMD).

The structure in extended XYZ format:
```
8
Lattice="3.896 0.000 0.000 0.000 3.896 0.000 0.000 0.000 10.128" Properties=species:S:1:pos:R:3 pbc="T T T"
Tb 0.974 0.974 1.125
Tb 2.922 2.922 9.003
As 0.974 0.974 7.237
As 0.974 2.922 5.064
As 2.922 0.974 5.064
As 2.922 2.922 2.891
O 0.974 2.922 0.000
O 2.922 0.974 0.000
```

Computed properties:
V = 153.7 Å³ per cell



x | # TbAs2O

A geometry-optimized TbAs2O structure (PBE, OQMD).

The structure in extended XYZ format:
```
8
Lattice="3.588 0.000 0.000 0.000 5.891 0.000 0.000 0.000 8.546" Properties=species:S:1:pos:R:3 pbc="T T T"
Tb 0.000 1.429 0.000
Tb 0.000 4.462 4.273
As 0.000 1.486 3.088
As 0.000 4.405 7.361
As 1.794 1.507 4.744
As 1.794 4.384 0.471
O 1.794 1.447 7.489
O 1.794 4.444 3.216
```

Computed properties:
V = 180.6 Å³ per cell



y | # TbAs2O

A geometry-optimized TbAs2O structure (PBE, OQMD).

The structure in extended XYZ format:
```
8
Lattice="4.694 0.000 0.000 0.000 4.694 0.000 0.000 0.000 7.177" Properties=species:S:1:pos:R:3 pbc="T T T"
Tb 1.173 3.520 0.000
Tb 3.520 1.173 0.000
As 1.173 1.173 1.494
As 1.173 1.173 3.973
As 3.520 3.520 3.205
As 3.520 3.520 5.684
O 1.173 3.520 3.589
O 3.520 1.173 3.589
```

Computed properties:
V = 158.1 Å³ per cell



z | # TbAs2O

A geometry-optimized TbAs2O structure (PBE, OQMD).

The structure in extended XYZ format:
```
8
Lattice="3.844 0.000 0.000 0.000 3.844 0.000 0.000 0.000 10.510" Properties=species:S:1:pos:R:3 pbc="T T T"
Tb 0.961 0.961 1.149
Tb 2.883 2.883 9.361
As 0.961 0.961 7.503
As 0.961 2.883 5.255
As 2.883 0.961 5.255
As 2.883 2.883 3.007
O 0.961 2.883 0.000
O 2.883 0.961 0.000
```

Computed properties:
V = 155.3 Å³ per cell



It comes down to z, which is 7 meV/atom more stable than the next structure.